1.
The following is a PBE calculation of a geometry-optimized Ta4Nb2Cd3C3 structure, from OQMD via LeMat-Bulk.

Values from the calculation:
Space group: C2/c, No. 15

a = 5.4706 Å, b = 5.4706 Å, c = 14.9862 Å
α = 100.53°, β = 100.53°, γ = 60.01°
Last column: nearest neighbours and their distance in Å.
Fractional coordinates of all 24 atoms:
C1 0.6691 0.1619 0.0000  4 Ta 2.17, 2 Nb 2.20
C2 0.0000 0.5000 0.0000  4 Ta 2.17, 2 Nb 2.20
C3 0.3309 0.8381 0.0000  4 Ta 2.17, 2 Nb 2.20
C4 0.1619 0.6691 0.5000  4 Ta 2.17, 2 Nb 2.20
C5 0.5000 0.0000 0.5000  4 Ta 2.17, 2 Nb 2.20
C6 0.8381 0.3309 0.5000  4 Ta 2.17, 2 Nb 2.20
Cd1 0.4165 0.2461 0.2494  4 Ta 3.06-3.07, 2 Nb 3.06-3.07, 6 Cd 3.14-3.20
Cd2 0.0793 0.9207 0.2500  4 Ta 3.07, 2 Nb 3.07, 6 Cd 3.14-3.20
Cd3 0.7539 0.5835 0.2506  4 Ta 3.06-3.07, 2 Nb 3.06-3.07, 6 Cd 3.14-3.20
Cd4 0.2461 0.4165 0.7494  4 Ta 3.06-3.07, 2 Nb 3.06-3.07, 6 Cd 3.14-3.20
Cd5 0.9207 0.0793 0.7500  4 Ta 3.07, 2 Nb 3.07, 6 Cd 3.14-3.20
Cd6 0.5835 0.7539 0.7506  4 Ta 3.06-3.07, 2 Nb 3.06-3.07, 6 Cd 3.14-3.20
Nb1 0.3632 0.5276 0.0827  3 C 2.20
Nb2 0.4724 0.6368 0.4173  3 C 2.20
Nb3 0.5276 0.3632 0.5827  3 C 2.20
Nb4 0.6368 0.4724 0.9173  3 C 2.20
Ta1 0.6940 0.8581 0.0812  3 C 2.17
Ta2 0.0250 0.1960 0.0812  3 C 2.17
Ta3 0.8040 0.9750 0.4188  3 C 2.17
Ta4 0.1419 0.3060 0.4188  3 C 2.17
Ta5 0.8581 0.6940 0.5812  3 C 2.17
Ta6 0.1960 0.0250 0.5812  3 C 2.17
Ta7 0.9750 0.8040 0.9188  3 C 2.17
Ta8 0.3060 0.1419 0.9188  3 C 2.17

2.
The following is a PBE calculation of a geometry-optimized SmGdGa4 structure, from OQMD via LeMat-Bulk.

Values from the calculation:
Space group: Cmcm, No. 63

a = 9.7995 Å, b = 9.7995 Å, c = 6.5834 Å
α = 90.00°, β = 90.00°, γ = 155.47°
Last column: nearest neighbours and their distance in Å.
Fractional coordinates of all 12 atoms:
Ga1 0.0000 0.0000 0.0000  6 Ga 2.79-2.99
Ga2 0.8550 0.1450 0.0465  4 Ga 2.68-2.85
Ga3 0.4283 0.5717 0.2500  8 Ga 2.85-2.99, 1 Sm 3.08, 1 Gd 3.13
Ga4 0.8550 0.1450 0.4535  4 Ga 2.68-2.85
Ga5 0.0000 0.0000 0.5000  6 Ga 2.79-2.99
Ga6 0.1450 0.8550 0.5465  4 Ga 2.68-2.85
Ga7 0.5717 0.4283 0.7500  8 Ga 2.85-2.99, 1 Sm 3.08, 1 Gd 3.13
Ga8 0.1450 0.8550 0.9535  4 Ga 2.68-2.85
Gd1 0.2650 0.7350 0.2500  7 Ga 3.02-3.13
Gd2 0.7350 0.2650 0.7500  7 Ga 3.02-3.13
Sm1 0.5890 0.4110 0.2500  11 Ga 3.05-3.31
Sm2 0.4110 0.5890 0.7500  11 Ga 3.05-3.31

3.
The following is a PBE calculation of a geometry-optimized CsLuTl structure, from OQMD via LeMat-Bulk.

Values from the calculation:
Excess energy over the best structure of this formula in the dataset: 1.17 eV per formula unit
Space group: F-43m, No. 216

a = 5.6891 Å, b = 5.6891 Å, c = 5.6891 Å
α = 60.00°, β = 60.00°, γ = 60.00°
Last column: nearest neighbours and their distance in Å.
Fractional coordinates of all 3 atoms:
Cs1 0.0000 0.0000 0.0000  4 Tl 3.48, 4 Lu 3.48
Lu1 0.2500 0.2500 0.2500  4 Cs 3.48
Tl1 0.7500 0.7500 0.7500  4 Cs 3.48

| no. | spin magnetization (μB per formula unit) | E_tot (eV/atom) |
| --- | --- | --- |
| 1 | 0.0 | -8.499 |
| 2 | 0.0 | -4.163 |
| 3 | 0.0 | -1.633 |